This record from Alexandria via LeMat-Bulk describes ZnCoRuO4 after structural relaxation. The functional is PBE with a Hubbard U.

It has space group Imma (No. 74), with a = 5.571 Å, b = 5.987 Å, c = 8.786 Å, α = 90.00°, β = 90.00° and γ = 90.00°. The distinct sites, in fractional coordinates, are Zn at (0.000, 0.250, 0.129), Co at (0.000, 0.000, 0.500), Ru at (0.250, 0.250, 0.750), O at (0.000, 0.001, 0.720) and O at (0.226, 0.250, 0.514).

The value obtained for the total energy is -6.093 eV/atom. Its total magnetic moment is 0.00 Bohr magnetons per cell.